(1)
ZrTe4Pb: relaxed, PBEsol.

E   -4.08 eV per atom
Fermi-level density of states   5.4 states/eV/f.u.

Unit cell a=8.737 b=8.737 c=8.737 alpha=90.00 beta=90.00 gamma=90.00
Space group F-43m (No. 216)
Asymmetric unit:
Zr  0.000  0.000  0.000 x4
Te  0.126  0.126  0.626 x16
Pb  0.250  0.250  0.250 x4

---

(2)
Zr4TePb: relaxed, PBEsol.

E   -7.28 eV per atom
Fermi-level density of states   4.5 states/eV/f.u.

Unit cell a=8.192 b=8.192 c=8.192 alpha=90.00 beta=90.00 gamma=90.00
Space group F-43m (No. 216)
Asymmetric unit:
Zr  0.124  0.124  0.376 x16
Te  0.000  0.000  0.000 x4
Pb  0.250  0.250  0.750 x4